#one
Density functional theory data (GGA-PBE) for crystalline LaAuSe2 at its relaxed geometry.

abc: 4.154 4.154 6.033
angles: 90.00 90.00 90.00
Space group P4mm (No. 99)
One atom of each set of equivalent atoms:
La 0.000 0.000 0.000 (multiplicity 1)
Au 0.500 0.500 0.670 (multiplicity 1)
Se 0.000 0.000 0.531 (multiplicity 1)
Se 0.500 0.500 0.108 (multiplicity 1)

Values from the calculation:
Theoretical density, g cm⁻³: 7.88
DOS at the Fermi energy, states/eV/cell: 0.55

#two
Density functional theory data (GGA-PBE) for crystalline LaAuSe2 at its relaxed geometry.

abc: 8.215 4.525 6.808
angles: 90.00 91.01 90.00
Space group C2/m (No. 12)
One atom of each set of equivalent atoms:
La 0.000 0.000 0.000 (multiplicity 2)
Au 0.000 0.500 0.500 (multiplicity 2)
Se 0.174 0.500 0.793 (multiplicity 4)

Values from the calculation:
Theoretical density, g cm⁻³: 6.48
DOS at the Fermi energy, states/eV/cell: 0.00

#three
Density functional theory data (GGA-PBE) for crystalline LaAuSe2 at its relaxed geometry.

abc: 4.145 4.145 11.161
angles: 90.00 90.00 90.00
Space group I-4m2 (No. 119)
One atom of each set of equivalent atoms:
La 0.000 0.000 0.000 (multiplicity 2)
Au 0.000 0.500 0.250 (multiplicity 2)
Se 0.000 0.000 0.500 (multiplicity 2)
Se 0.000 0.500 0.750 (multiplicity 2)

Values from the calculation:
Theoretical density, g cm⁻³: 8.55
DOS at the Fermi energy, states/eV/cell: 4.08

#four
Density functional theory data (GGA-PBE) for crystalline LaAuSe2 at its relaxed geometry.

abc: 4.538 5.659 7.449
angles: 90.00 90.00 90.00
Space group Immm (No. 71)
One atom of each set of equivalent atoms:
La 0.000 0.000 0.000 (multiplicity 2)
Au 0.000 0.000 0.500 (multiplicity 2)
Se 0.000 0.500 0.223 (multiplicity 4)

Values from the calculation:
Theoretical density, g cm⁻³: 8.57
DOS at the Fermi energy, states/eV/cell: 0.73

Least stable: #three

#one
Density functional theory data (GGA-PBE) for crystalline LaAuSe2 at its relaxed geometry.

abc: 4.4782 4.4782 17.6426
angles: 90.00 90.00 120.00
Space group R-3m (No. 166, hexagonal axes)
One atom of each set of equivalent atoms:
La 0.0000 0.0000 0.0000 (multiplicity 3)
Au 0.0000 0.0000 0.5000 (multiplicity 3)
Se 0.0000 0.0000 0.2453 (multiplicity 6)

Values from the calculation:
Theoretical density, g cm⁻³: 8.03

#two
Density functional theory data (GGA-PBE) for crystalline LaAuSe2 at its relaxed geometry.

abc: 4.170 4.279 5.920
angles: 90.00 106.52 90.00
Space group P2/m (No. 10)
One atom of each set of equivalent atoms:
La 0.000 0.000 0.000 (multiplicity 1)
Au 0.500 0.500 0.500 (multiplicity 1)
Se 0.000 0.000 0.500 (multiplicity 1)
Se 0.500 0.500 0.000 (multiplicity 1)

Values from the calculation:
Theoretical density, g cm⁻³: 8.09
DOS at the Fermi energy, states/eV/cell: 1.40

#three
Density functional theory data (GGA-PBE) for crystalline LaAuSe2 at its relaxed geometry.

abc: 5.835 5.835 14.887
angles: 90.00 90.00 90.00
Space group I-42d (No. 122)
One atom of each set of equivalent atoms:
La 0.000 0.000 0.000 (multiplicity 4)
Au 0.000 0.000 0.500 (multiplicity 4)
Se 0.216 0.250 0.625 (multiplicity 8)

Values from the calculation:
Theoretical density, g cm⁻³: 6.47
DOS at the Fermi energy, states/eV/cell: 0.00

#four
Density functional theory data (GGA-PBE) for crystalline LaAuSe2 at its relaxed geometry.

abc: 11.213 4.158 4.613
angles: 90.00 92.37 90.00
Space group Cm (No. 8)
One atom of each set of equivalent atoms:
La 0.000 0.000 0.000 (multiplicity 2)
Au 0.218 0.500 0.227 (multiplicity 2)
Se 0.028 0.500 0.502 (multiplicity 2)
Se 0.288 0.000 0.940 (multiplicity 2)

Values from the calculation:
Theoretical density, g cm⁻³: 7.63
DOS at the Fermi energy, states/eV/cell: 0.19

Least stable: #three

#one
Density functional theory data (GGA-PBE) for crystalline LaAuSe2 at its relaxed geometry.

abc: 3.873 3.853 6.972
angles: 90.00 90.10 90.00
Space group P2/m (No. 10)
One atom of each set of equivalent atoms:
La 0.000 0.000 0.000 (multiplicity 1)
Au 0.500 0.000 0.500 (multiplicity 1)
Se 0.500 0.500 0.230 (multiplicity 2)

Values from the calculation:
Theoretical density, g cm⁻³: 7.88
DOS at the Fermi energy, states/eV/cell: 1.32

#two
Density functional theory data (GGA-PBE) for crystalline LaAuSe2 at its relaxed geometry.

abc: 7.242 7.242 7.242
angles: 90.00 90.00 90.00
Space group F-43m (No. 216)
One atom of each set of equivalent atoms:
La 0.000 0.000 0.000 (multiplicity 4)
Au 0.250 0.250 0.750 (multiplicity 4)
Se 0.000 0.000 0.500 (multiplicity 4)
Se 0.250 0.250 0.250 (multiplicity 4)

Values from the calculation:
Theoretical density, g cm⁻³: 8.63
DOS at the Fermi energy, states/eV/cell: 9.24

Least stable: #two

#one
Density functional theory data (GGA-PBE) for crystalline La2AuSe at its relaxed geometry.

abc: 4.739 3.948 11.919
angles: 90.00 90.00 90.00
Space group Amm2 (No. 38)
One atom of each set of equivalent atoms:
La 0.000 0.000 0.000 (multiplicity 2)
La 0.500 0.000 0.247 (multiplicity 2)
Au 0.500 0.000 0.508 (multiplicity 2)
Se 0.000 0.000 0.737 (multiplicity 2)

Values from the calculation:
Theoretical density, g cm⁻³: 8.25
DOS at the Fermi energy, states/eV/cell: 6.25

#two
Density functional theory data (GGA-PBE) for crystalline La2AuSe at its relaxed geometry.

abc: 3.763 3.763 7.420
angles: 90.00 90.00 90.00
Space group P4/mmm (No. 123)
One atom of each set of equivalent atoms:
La 0.000 0.000 0.245 (multiplicity 2)
Au 0.500 0.500 0.500 (multiplicity 1)
Se 0.500 0.500 0.000 (multiplicity 1)

Values from the calculation:
Theoretical density, g cm⁻³: 8.75
DOS at the Fermi energy, states/eV/cell: 3.42

Least stable: #two